A relaxed structure of BaSc2Se. Source: Alexandria, functional PBE-GGA.

Cell and atoms, written as extended XYZ:
```
4
Lattice="-0.226 0.015 6.516 2.902 -1.388 5.672 2.668 4.369 2.622" Properties=species:S:1:pos:R:3 pbc="T T T"
Ba 1.336 0.749 3.703
Se 4.008 2.248 11.108
Sc 2.669 4.053 3.153
Sc 2.671 1.815 6.875
```

Properties
E_tot = -20.34 eV for the cell shown
Total magnetization = 0.0 μB/f.u.
Uncorrected formation energy = -567 meV/atom